# 1
VASP calculation (GGA-PBE) on a geometry-optimized Ba4NaSn structure.

## Properties
Energy of formation   -0.169 eV per atom
Crystal system   tetragonal
DFT total energy   -14.03 eV per cell

a = 5.9616 Å, b = 5.9616 Å, c = 9.2948 Å
α = 90.00°, β = 90.00°, γ = 90.00°
Last column: nearest neighbours and their distance in Å.
Atoms (fractional coordinates):
Ba (0.0000, 0.5000, 0.2202)  2 Sn 3.62, 2 Na 3.96
Ba (0.0000, 0.5000, 0.7798)  2 Sn 3.62, 2 Na 3.96
Ba (0.5000, 0.0000, 0.2202)  2 Sn 3.62, 2 Na 3.96
Ba (0.5000, 0.0000, 0.7798)  2 Sn 3.62, 2 Na 3.96
Na (0.0000, 0.0000, 0.5000)  8 Ba 3.96
Sn (0.5000, 0.5000, 0.0000)  8 Ba 3.62


# 2
VASP calculation (GGA-PBE) on a geometry-optimized Ba3NaSn3 structure.

## Properties
Energy of formation   -0.570 eV per atom
Crystal system   orthorhombic
DFT total energy   -46.17 eV per cell

a = 6.8178 Å, b = 6.8178 Å, c = 16.9213 Å
α = 90.00°, β = 90.00°, γ = 135.11°
Last column: nearest neighbours and their distance in Å.
Atoms (fractional coordinates):
Ba (0.0229, 0.9771, 0.7500)  7 Sn 3.68-3.72
Ba (0.3024, 0.6976, 0.6034)  6 Sn 3.64-3.76, 2 Na 4.00
Ba (0.3024, 0.6976, 0.8966)  6 Sn 3.64-3.76, 2 Na 4.00
Ba (0.6976, 0.3024, 0.1034)  6 Sn 3.64-3.76, 2 Na 4.00
Ba (0.6976, 0.3024, 0.3966)  6 Sn 3.64-3.76, 2 Na 4.00
Ba (0.9771, 0.0229, 0.2500)  7 Sn 3.68-3.72
Na (0.0000, 0.0000, 0.0000)  4 Sn 3.39
Na (0.0000, 0.0000, 0.5000)  4 Sn 3.39
Sn (0.2688, 0.7312, 0.2500)  2 Sn 2.97
Sn (0.3994, 0.6006, 0.1040)  1 Sn 2.97
Sn (0.3994, 0.6006, 0.3960)  1 Sn 2.97
Sn (0.6006, 0.3994, 0.6040)  1 Sn 2.97
Sn (0.6006, 0.3994, 0.8960)  1 Sn 2.97
Sn (0.7312, 0.2688, 0.7500)  2 Sn 2.97